Record 1
TlBiSeN2 | PBE | optimized geometry

Results
**Formation energy without anion corrections**: 37.591 kcal/mol of atoms
**Excess energy over the best structure of this formula in the dataset**: 363 meV per atom

Cell lengths 4.244, 4.244, 5.634 Å; angles 90.00, 90.00, 90.00 degrees
Space group P4/mmm (No. 123)
Inequivalent atoms, fractional coordinates:
Tl (0.000, 0.000, 0.000) [1 per cell]
Bi (0.500, 0.500, 0.000) [1 per cell]
Se (0.000, 0.000, 0.500) [1 per cell]
N (0.000, 0.500, 0.500) [2 per cell]

***

Record 2
TlBiSeN2 | PBE | optimized geometry

Results
**Formation energy without anion corrections**: 36.718 kcal/mol of atoms
**Excess energy over the best structure of this formula in the dataset**: 325 meV per atom

Cell lengths 4.382, 4.382, 5.700 Å; angles 90.00, 90.00, 90.00 degrees
Space group P4/mmm (No. 123)
Inequivalent atoms, fractional coordinates:
Tl (0.000, 0.000, 0.000) [1 per cell]
Bi (0.500, 0.500, 0.500) [1 per cell]
Se (0.000, 0.000, 0.500) [1 per cell]
N (0.000, 0.500, 0.000) [2 per cell]

***

Record 3
TlBiSeN2 | PBE | optimized geometry

Results
**Formation energy without anion corrections**: 29.228 kcal/mol of atoms
**Excess energy over the best structure of this formula in the dataset**: 0 meV per atom

Cell lengths 4.504, 4.504, 5.800 Å; angles 90.00, 90.00, 90.00 degrees
Space group P4/mmm (No. 123)
Inequivalent atoms, fractional coordinates:
Tl (0.000, 0.000, 0.000) [1 per cell]
Bi (0.500, 0.500, 0.500) [1 per cell]
Se (0.500, 0.500, 0.000) [1 per cell]
N (0.000, 0.500, 0.500) [2 per cell]

***

Record 4
Tm3BiSeN | PBE | optimized geometry

Results
**Formation energy without anion corrections**: -29.436 kcal/mol of atoms

Cell lengths 8.663, 4.066, 9.015 Å; angles 90.00, 100.43, 90.00 degrees
Space group P2_1/m (No. 11)
Inequivalent atoms, fractional coordinates:
Tm (0.088, 0.250, 0.348) [2 per cell]
Tm (0.349, 0.250, 0.989) [2 per cell]
Tm (0.387, 0.750, 0.663) [2 per cell]
Bi (0.329, 0.750, 0.289) [2 per cell]
Se (0.146, 0.250, 0.664) [2 per cell]
N (0.405, 0.750, 0.902) [2 per cell]

***

Record 5
UBiSe2N | PBE | optimized geometry

Results
**Formation energy without anion corrections**: -20.086 kcal/mol of atoms

Cell lengths 3.955, 3.955, 15.299 Å; angles 90.00, 90.00, 90.00 degrees
Space group P4/nmm (No. 129, origin choice 2)
Inequivalent atoms, fractional coordinates:
U (0.250, 0.250, 0.073) [2 per cell]
Bi (0.250, 0.250, 0.640) [2 per cell]
Se (0.250, 0.250, 0.412) [2 per cell]
Se (0.250, 0.250, 0.825) [2 per cell]
N (0.250, 0.750, 0.000) [2 per cell]

***

Record 6
YBiSeN2 | PBE | optimized geometry

Results
**Formation energy without anion corrections**: 12.988 kcal/mol of atoms
**Excess energy over the best structure of this formula in the dataset**: 0 meV per atom

Cell lengths 4.391, 4.391, 5.651 Å; angles 90.00, 90.00, 90.00 degrees
Space group P4/mmm (No. 123)
Inequivalent atoms, fractional coordinates:
Y (0.000, 0.000, 0.000) [1 per cell]
Bi (0.500, 0.500, 0.500) [1 per cell]
Se (0.000, 0.000, 0.500) [1 per cell]
N (0.000, 0.500, 0.000) [2 per cell]

***

Record 7
YBiSeN2 | PBE | optimized geometry

Results
**Formation energy without anion corrections**: 13.960 kcal/mol of atoms
**Excess energy over the best structure of this formula in the dataset**: 42 meV per atom

Cell lengths 4.312, 4.312, 5.489 Å; angles 90.00, 90.00, 90.00 degrees
Space group P4/mmm (No. 123)
Inequivalent atoms, fractional coordinates:
Y (0.000, 0.000, 0.000) [1 per cell]
Bi (0.500, 0.500, 0.500) [1 per cell]
Se (0.500, 0.500, 0.000) [1 per cell]
N (0.000, 0.500, 0.500) [2 per cell]

***

Record 8
ZrBiSe2N | PBE | optimized geometry

Results
**Formation energy without anion corrections**: -5.215 kcal/mol of atoms
**Excess energy over the best structure of this formula in the dataset**: 0 meV per atom

Cell lengths 5.412, 5.412, 4.018 Å; angles 90.00, 90.00, 90.00 degrees
Space group P4/mmm (No. 123)
Inequivalent atoms, fractional coordinates:
Zr (0.000, 0.000, 0.000) [1 per cell]
Bi (0.500, 0.500, 0.500) [1 per cell]
Se (0.000, 0.500, 0.000) [2 per cell]
N (0.000, 0.000, 0.500) [1 per cell]

***

Record 9
ZrBiSe2N | PBE | optimized geometry

Results
**Formation energy without anion corrections**: 19.418 kcal/mol of atoms
**Excess energy over the best structure of this formula in the dataset**: 1068 meV per atom

Cell lengths 5.443, 5.443, 4.142 Å; angles 90.00, 90.00, 90.00 degrees
Space group P4/mmm (No. 123)
Inequivalent atoms, fractional coordinates:
Zr (0.000, 0.000, 0.000) [1 per cell]
Bi (0.500, 0.500, 0.500) [1 per cell]
Se (0.000, 0.500, 0.500) [2 per cell]
N (0.500, 0.500, 0.000) [1 per cell]

***

Record 10
ZrBiSeN2 | PBE | optimized geometry

Results
**Formation energy without anion corrections**: 4.619 kcal/mol of atoms
**Excess energy over the best structure of this formula in the dataset**: 0 meV per atom

Cell lengths 4.250, 4.250, 5.454 Å; angles 90.00, 90.00, 90.00 degrees
Space group P4/mmm (No. 123)
Inequivalent atoms, fractional coordinates:
Zr (0.000, 0.000, 0.000) [1 per cell]
Bi (0.500, 0.500, 0.500) [1 per cell]
Se (0.000, 0.000, 0.500) [1 per cell]
N (0.000, 0.500, 0.000) [2 per cell]

***

Record 11
ZrBiSe2N | PBE | optimized geometry

Results
**Formation energy without anion corrections**: 43.696 kcal/mol of atoms
**Excess energy over the best structure of this formula in the dataset**: 2121 meV per atom

Cell lengths 5.373, 5.373, 5.735 Å; angles 90.00, 90.00, 90.00 degrees
Space group P4/mmm (No. 123)
Inequivalent atoms, fractional coordinates:
Zr (0.000, 0.000, 0.000) [1 per cell]
Bi (0.000, 0.000, 0.500) [1 per cell]
Se (0.000, 0.500, 0.500) [2 per cell]
N (0.500, 0.500, 0.000) [1 per cell]

***

Record 12
ZrBiSeN2 | PBE | optimized geometry

Results
**Formation energy without anion corrections**: 27.725 kcal/mol of atoms
**Excess energy over the best structure of this formula in the dataset**: 1002 meV per atom

Cell lengths 4.240, 4.240, 5.451 Å; angles 90.00, 90.00, 90.00 degrees
Space group P4/mmm (No. 123)
Inequivalent atoms, fractional coordinates:
Zr (0.000, 0.000, 0.000) [1 per cell]
Bi (0.500, 0.500, 0.500) [1 per cell]
Se (0.500, 0.500, 0.000) [1 per cell]
N (0.000, 0.500, 0.500) [2 per cell]

***

| no. | calculated volume (A^3/atom) |
| --- | --- |
| 1 | 20.3 |
| 2 | 21.9 |
| 3 | 23.5 |
| 4 | 26.0 |
| 5 | 23.9 |
| 6 | 21.8 |
| 7 | 20.4 |
| 8 | 23.5 |
| 9 | 24.5 |
| 10 | 19.7 |
| 11 | 33.1 |
| 12 | 19.6 |